LuHfCuNi | PBE | optimized geometry

Cell and atoms, written as extended XYZ:
```
16
Lattice="6.520 0.000 0.000 0.000 6.520 0.000 0.000 0.000 6.520" Properties=species:S:1:pos:R:3 pbc="T T T"
Lu 0.000 0.000 0.000
Lu 0.000 3.260 3.260
Lu 3.260 0.000 3.260
Lu 3.260 3.260 0.000
Hf 0.000 0.000 3.260
Hf 0.000 3.260 0.000
Hf 3.260 0.000 0.000
Hf 3.260 3.260 3.260
Cu 1.630 1.630 1.630
Cu 1.630 4.890 4.890
Cu 4.890 1.630 4.890
Cu 4.890 4.890 1.630
Ni 1.630 1.630 4.890
Ni 1.630 4.890 1.630
Ni 4.890 1.630 1.630
Ni 4.890 4.890 4.890
```

Output
The formation energy comes out at -1.2 eV/f.u. The volume is 277.13 Å³ per cell. For the relative energy among the computed polymorphs, the calculation gives 0.000 eV/atom. Its calculated density is 11.4 g/cm³.